(1)
ErThZnMo | GGA-PBE | relaxed

Cell: 5.044 5.044 5.044 Å, 60.00 60.00 60.00°
Atoms (fractional coordinates):
Mo 0.250 0.250 0.250
Zn 0.750 0.750 0.750
Th 0.500 0.500 0.500
Er 0.000 0.000 0.000

E_tot = -0.4392 Ry/atom
DFT formation energy = 18 kJ/mol of formula units
magnetic moment = 0.000 μB/f.u.

---

(2)
PuPaPt2 | GGA-PBE | relaxed

Cell: 3.990 3.990 7.437 Å, 74.44 74.44 60.00°
Atoms (fractional coordinates):
Pu 0.498 0.498 0.507
Pa 0.668 0.668 0.995
Pt 0.079 0.079 0.764
Pt 0.255 0.255 0.234

E_tot = -0.7177 Ry/atom
energy relative to the lowest polymorph listed for this composition = 146 meV/atom
DFT formation energy = -304 kJ/mol of formula units
magnetic moment = 5.846 μB/f.u.

---

(3)
Sr2ScF6 | GGA-PBE | relaxed

Cell: 5.301 5.301 11.455 Å, 90.00 90.00 90.00°
Atoms (fractional coordinates):
Sr 0.000 0.000 0.337
Sr 0.500 0.500 0.837
Sr 0.500 0.500 0.163
Sr 0.000 0.000 0.663
Sc 0.000 0.000 0.000
Sc 0.500 0.500 0.500
F 0.324 0.324 0.343
F 0.676 0.676 0.343
F 0.176 0.824 0.843
F 0.824 0.176 0.843
F 0.176 0.824 0.157
F 0.824 0.176 0.157
F 0.324 0.324 0.657
F 0.676 0.676 0.657
F 0.280 0.280 0.000
F 0.720 0.720 0.000
F 0.220 0.780 0.500
F 0.780 0.220 0.500

E_tot = -0.4398 Ry/atom
magnetic moment = 0.816 μB/f.u.
formation energy (no corrections) = -84.38 kcal/mol of atoms

---

(4)
FeI2Cl | GGA-PBE | relaxed

Cell: 7.133 7.133 7.040 Å, 59.56 59.56 90.00°
Atoms (fractional coordinates):
I 0.719 0.125 0.250
I 0.031 0.625 0.250
I 0.375 0.281 0.750
I 0.875 0.969 0.750
Fe 0.000 0.000 0.000
Fe 0.750 0.250 0.500
Cl 0.500 0.500 0.000
Cl 0.250 0.750 0.500

E_tot = -0.2305 Ry/atom
energy relative to the lowest polymorph listed for this composition = 531 meV/atom
magnetic moment = 0.000 μB/f.u.
formation energy (no corrections) = 4.98 kcal/mol of atoms

---

(5)
Sr3In2Hg5Sb2 | GGA-PBE | relaxed

Cell: 4.769 4.769 18.079 Å, 97.58 97.58 90.00°
Atoms (fractional coordinates):
Sr 0.203 0.203 0.405
Sr 0.797 0.797 0.595
Sr 0.000 0.000 0.000
In 0.376 0.376 0.751
In 0.624 0.624 0.249
Hg 0.571 0.071 0.141
Hg 0.429 0.929 0.859
Hg 0.071 0.571 0.141
Hg 0.929 0.429 0.859
Hg 0.500 0.500 0.000
Sb 0.703 0.703 0.405
Sb 0.297 0.297 0.595

E_tot = -0.1520 Ry/atom
magnetic moment = 0.000 μB/f.u.
formation energy (no corrections) = -8.73 kcal/mol of atoms

---

(6)
SrMg2Zn2Hg2 | GGA-PBE | relaxed

Cell: 4.693 4.693 9.161 Å, 75.16 75.16 60.00°
Atoms (fractional coordinates):
Sr 0.000 0.000 0.000
Mg 0.134 0.134 0.597
Mg 0.866 0.866 0.403
Zn 0.580 0.580 0.259
Zn 0.420 0.420 0.741
Hg 0.752 0.752 0.743
Hg 0.248 0.248 0.257

E_tot = -0.1016 Ry/atom
DFT formation energy = -159 kJ/mol of formula units
magnetic moment = 0.000 μB/f.u.

---

> What is the formula in the fourth record?

FeI2Cl